The following is a DFT calculation (PBE-GGA) of crystalline YTc3I at its relaxed geometry.

The space group is Pm-3m (No. 221) and the conventional cell measures 5.1584, 5.1584 and 5.1584 Å, with angles of 90.00, 90.00 and 90.00 degrees. The inequivalent atoms are Y at (0.0000, 0.0000, 0.0000), Tc at (0.0000, 0.0000, 0.5000) and I at (0.5000, 0.5000, 0.5000).

The formation energy without anion corrections is 2.33 eV per atom. The final energy is -5.490 eV per atom.